# 1
{
  "formula": "Pa2InBi4",
  "functional": "GGA-PBE",
  "state": "optimized geometry",
  "cell": [[-1.3003, -2.6827, 3.8723], [6.1155, -2.5950, 0.2557], [0.5572, 5.3566, 3.8981]],
  "species": ["Bi", "Bi", "Bi", "Bi", "Pa", "Pa", "In"],
  "frac_coords": [[0.5000, 0.0000, 0.5000], [0.0000, 0.7874, 0.7874], [0.0000, 0.2126, 0.2126], [0.5000, 0.5000, 0.0000], [0.0000, 0.7207, 0.2793], [0.0000, 0.2793, 0.7207], [0.5000, 0.5000, 0.5000]],
  "formation_energy_ev_per_atom": -0.134,
  "de_polymorph_ev_per_atom": 0.000
}


# 2
{
  "formula": "YTaPb",
  "functional": "GGA-PBE",
  "state": "optimized geometry",
  "cell": [[-2.3720, -0.9186, -4.3658], [-4.8256, -1.4980, 0.0131], [-3.6217, 3.1313, -1.6150]],
  "species": ["Ta", "Pb", "Y"],
  "frac_coords": [[0.5000, 0.5000, 0.5000], [0.0000, 0.0000, 0.0000], [0.7500, 0.7500, 0.7500]],
  "formation_energy_ev_per_atom": 1.079,
  "de_polymorph_ev_per_atom": 0.863
}


Number 1: VASP energy -5.46 eV per atom, density of states at the Fermi level 1.0363 states/eV per atom. Number 2: VASP energy -6.26 eV per atom, density of states at the Fermi level 0.6990 states/eV per atom.